No. 1
Compound: Ba2NbCdAs
Source: Alexandria via LeMat-Bulk
Functional: PBE-GGA
Structure: optimized geometry

abc: 6.361 5.158 6.361
angles: 90.00 90.00 90.00
Site moments in Bohr magnetons follow the coordinates.
Positions (direct):
As1 0.000 0.000 0.000  0.03
Nb1 0.500 0.500 0.500  2.98
Ba1 0.000 0.000 0.500  0.09
Ba2 0.500 0.000 0.000  0.08
Cd1 0.000 0.500 0.000  -0.01

Calculated volume in Å³ per cell: 209
Space group: P4/mmm, No. 123
Formation energy in eV per atom: 0.46

***

No. 2
Compound: Ba2CdNiAs
Source: Alexandria via LeMat-Bulk
Functional: PBE-GGA
Structure: optimized geometry

abc: 6.106 6.106 4.434
angles: 90.00 90.00 90.00
Positions (direct):
Ni1 0.000 0.000 0.000
As1 0.000 0.000 0.500
Ba1 0.000 0.500 0.000
Ba2 0.500 0.000 0.000
Cd1 0.500 0.500 0.500

Calculated volume in Å³ per cell: 165
Space group: P4/mmm, No. 123
Formation energy in eV per atom: -0.42

***

No. 3
Compound: BaCd2AsO2
Source: Alexandria via LeMat-Bulk
Functional: PBE-GGA
Structure: optimized geometry

abc: 4.698 7.023 8.365
angles: 109.29 90.00 90.00
Positions (direct):
Ba1 0.250 0.196 0.941
Ba2 0.750 0.804 0.059
Cd1 0.250 0.091 0.415
Cd2 0.250 0.575 0.644
Cd3 0.750 0.909 0.585
Cd4 0.750 0.425 0.356
As1 0.750 0.324 0.659
As2 0.250 0.676 0.341
O1 0.500 0.147 0.201
O2 0.000 0.147 0.201
O3 0.000 0.853 0.799
O4 0.500 0.853 0.799

Calculated volume in Å³ per cell: 261
Space group: P2_1/m, No. 11
Uncorrected formation energy in eV/atom: -0.8575